Entry 1:
Crystalline PrOsO4 at its relaxed geometry, computed with PBE.

It has space group P2_1/c (No. 14), with a = 7.877 Å, b = 5.519 Å, c = 7.771 Å, α = 90.00°, β = 103.30° and γ = 90.00°. Symmetry generates all atoms from Pr at (0.137, 0.218, 0.403), Os at (0.337, 0.741, 0.206), O at (0.130, 0.514, 0.180), O at (0.159, 0.510, 0.631), O at (0.316, 0.650, 0.951) and O at (0.485, 0.026, 0.779).

As for the calculated volume: 82.2 Å³/f.u. The calculation puts the formation energy without anion corrections at -1984.5 meV/atom. Its polymorph energy (0 for the lowest one) is 0 meV per atom. Its calculated density is 7.98 g cm⁻³. As for the density of states at the Fermi level: 2.72 states/eV/f.u.


Entry 2:
Crystalline PrOsO6 at its relaxed geometry, computed with PBE.

It has space group C2/m (No. 12), with a = 6.122 Å, b = 6.950 Å, c = 4.689 Å, α = 90.00°, β = 100.77° and γ = 90.00°. Symmetry generates all atoms from Pr at (0.000, 0.000, 0.000), Os at (0.000, 0.500, 0.500), O at (0.100, 0.314, 0.780) and O at (0.218, 0.000, 0.594).

As for the calculated volume: 98.0 Å³/f.u. The calculation puts the formation energy without anion corrections at -1423.9 meV/atom. Its calculated density is 7.24 g cm⁻³. As for the density of states at the Fermi level: 3.92 states/eV/f.u.